1.
Below is a geometry-optimized Sm3Ga9Pd2 structure, with properties calculated at the PBE level. Values from VASP.

Cell and atoms, written as Quantum ESPRESSO input:
```
&SYSTEM
  ibrav = 0, nat = 14, ntyp = 3
/
ATOMIC_SPECIES
Pd 106.42 Pd.upf
Sm 150.36 Sm.upf
Ga 69.72 Ga.upf
CELL_PARAMETERS angstrom
-0.060 4.093 1.263
-2.862 4.219 -6.547
-7.981 1.640 1.568
ATOMIC_POSITIONS angstrom
Pd -4.326 5.544 -3.643
Pd -6.578 4.409 -0.073
Sm -3.488 4.655 -0.721
Sm -7.416 5.298 -2.995
Sm 0.000 0.000 0.000
Ga -8.428 7.945 -4.355
Ga -2.863 3.275 -3.486
Ga -5.751 7.832 -3.860
Ga -9.743 7.282 -2.270
Ga -5.153 2.121 0.144
Ga -1.160 2.671 -1.446
Ga -2.476 2.008 0.639
Ga -5.422 2.930 -2.489
Ga -8.041 6.678 -0.230
```

=====

2.
Below is a geometry-optimized SmGa2Pd structure, with properties calculated at the PBE level. Values from VASP.

Cell and atoms, written as Quantum ESPRESSO input:
```
&SYSTEM
  ibrav = 0, nat = 16, ntyp = 3
/
ATOMIC_SPECIES
Pd 106.42 Pd.upf
Ga 69.72 Ga.upf
Sm 150.36 Sm.upf
CELL_PARAMETERS angstrom
-3.981 0.370 3.927
-1.582 -6.518 -0.990
5.515 -2.220 5.800
ATOMIC_POSITIONS angstrom
Pd -0.669 -2.304 4.628
Pd 0.620 -6.064 4.108
Pd -1.232 -5.038 0.315
Pd 1.183 -3.330 8.421
Ga -3.175 -3.000 4.107
Ga 2.506 -7.925 4.241
Ga -1.292 -6.719 2.367
Ga 0.623 -4.206 5.980
Ga 1.244 -1.649 6.369
Ga -0.671 -4.162 2.756
Ga 3.127 -5.368 4.629
Ga -2.554 -0.443 4.495
Sm 1.593 -6.785 7.298
Sm 2.065 -2.781 3.401
Sm -2.114 -5.587 5.335
Sm -1.641 -1.583 1.438
```

=====

3.
Below is a geometry-optimized Sm6Ga2Pd structure, with properties calculated at the PBE level. Values from VASP.

Cell and atoms, written as Quantum ESPRESSO input:
```
&SYSTEM
  ibrav = 0, nat = 9, ntyp = 3
/
ATOMIC_SPECIES
Sm 150.36 Sm.upf
Pd 106.42 Pd.upf
Ga 69.72 Ga.upf
CELL_PARAMETERS angstrom
-3.360 -2.792 -2.382
4.680 -5.483 -0.175
-3.297 1.675 7.888
ATOMIC_POSITIONS angstrom
Sm -0.527 -2.746 -1.234
Sm 2.663 -4.939 2.034
Sm -4.641 -1.660 3.297
Sm 0.288 -2.157 2.122
Sm -2.266 -4.443 3.208
Sm 1.847 -5.528 -1.323
Pd 0.000 0.000 0.000
Ga -0.221 -4.960 0.931
Ga -1.756 -1.640 4.399
```

=====

4.
Below is a geometry-optimized Sm5GaPd2 structure, with properties calculated at the PBE level. Values from VASP.

Cell and atoms, written as Quantum ESPRESSO input:
```
&SYSTEM
  ibrav = 0, nat = 16, ntyp = 3
/
ATOMIC_SPECIES
Pd 106.42 Pd.upf
Sm 150.36 Sm.upf
Ga 69.72 Ga.upf
CELL_PARAMETERS angstrom
-4.892 -0.945 -6.183
-5.073 -3.992 4.624
1.899 8.199 2.343
ATOMIC_POSITIONS angstrom
Pd -2.513 -1.596 0.894
Pd -3.753 -1.120 -3.296
Pd -6.211 -3.816 1.737
Pd -7.452 -3.341 -2.453
Sm -8.383 -2.314 0.246
Sm 0.317 5.576 0.538
Sm -5.033 -1.130 2.514
Sm -6.718 -0.487 -3.167
Sm -3.033 4.393 -1.730
Sm 0.000 0.000 0.000
Sm -4.982 -2.468 -0.779
Sm -4.698 2.565 1.684
Sm -3.368 0.697 -0.899
Sm -1.348 3.749 3.951
Ga -1.542 2.865 0.782
Ga -6.524 0.397 0.002
```

=====

What did we get for formation enthalpy at 0 K? Answer: -0.67 -0.72 -0.29 -0.55 eV per atom, in the order shown.
What did we get for N(E_F)? Answer: 0.30 0.74 1.29 1.03 states/eV per atom, in the order shown.
What did we get for DFT total energy? Answer: -0.3210 -0.3463 -0.3447 -0.3806 Ry/atom, in the order shown.